Entry 1:
Density functional theory data (PBE) for a relaxed K2ZrBeW crystal.

Geometry as POSCAR:
```
K2ZrBeW
1.0
-3.215 2.592 -3.542
-4.200 -2.548 1.947
-0.753 3.999 3.610
K W Be Zr
2 1 1 1
direct
0.000 0.000 0.500 K
0.500 0.000 0.000 K
0.500 0.500 0.500 W
0.000 0.000 0.000 Be
0.000 0.500 0.000 Zr
```

Calculated values
* final energy: -17.02 eV per cell
* symmetry: P4/mmm
* crystal system: tetragonal
* D(E_F): 1.210 states/eV/atom

***

Entry 2:
Density functional theory data (PBE) for a relaxed LiMgP2 crystal.

Geometry as POSCAR:
```
LiMgP2
1.0
-3.940 -0.563 -0.925
-0.694 -1.366 3.787
-0.758 3.475 1.115
Li P Mg
1 2 1
direct
0.500 0.000 0.500 Li
0.000 0.000 0.000 P
0.500 0.500 0.000 P
0.000 0.500 0.500 Mg
```

Calculated values
* final energy: -15.34 eV per cell
* symmetry: P4/mmm
* crystal system: tetragonal
* D(E_F): 0.356 states/eV/atom

***

Entry 3:
Density functional theory data (PBE) for a relaxed K2HfOsN crystal.

Geometry as POSCAR:
```
K2HfOsN
1.0
5.693 0.000 0.000
0.000 3.756 0.000
0.000 0.000 5.693
Hf K N Os
1 2 1 1
direct
0.500 0.500 0.500 Hf
0.500 0.000 0.000 K
0.000 0.000 0.500 K
0.000 0.000 0.000 N
0.000 0.500 0.000 Os
```

Calculated values
* raw formation energy: 1.079 eV/atom
* symmetry: P4/mmm
* crystal system: tetragonal
* D(E_F): 1.114 states/eV/atom

***

Entry 4:
Density functional theory data (PBE) for a relaxed LaOsNF2 crystal.

Geometry as POSCAR:
```
LaOsNF2
1.0
-1.470 -2.156 -3.753
3.511 -2.912 0.298
-2.080 -2.290 2.131
N Os F La
1 1 2 1
direct
0.000 0.000 0.500 N
0.000 0.000 0.000 Os
0.500 0.000 0.000 F
0.000 0.500 0.000 F
0.500 0.500 0.500 La
```

Calculated values
* raw formation energy: -1.031 eV/atom
* symmetry: P4/mmm
* crystal system: tetragonal
* D(E_F): 0.733 states/eV/atom

***

Entry 5:
Density functional theory data (PBE) for a relaxed CsV3Sb crystal.

Geometry as POSCAR:
```
CsV3Sb
1.0
-1.777 -2.973 3.351
2.635 -3.608 -1.804
3.622 1.167 2.956
V Sb Cs
3 1 1
direct
0.000 0.000 0.500 V
0.000 0.500 0.000 V
0.500 0.000 0.000 V
0.500 0.500 0.500 Sb
0.000 0.000 0.000 Cs
```

Calculated values
* raw formation energy: 2.405 eV/atom
* symmetry: Pm-3m
* crystal system: cubic
* D(E_F): 1.511 states/eV/atom

***

Entry 6:
Density functional theory data (PBE) for a relaxed SiNi3H crystal.

Geometry as POSCAR:
```
SiNi3H
1.0
3.572 0.000 0.000
0.000 3.572 0.000
0.000 0.000 3.572
Ni H Si
3 1 1
direct
0.000 0.500 0.000 Ni
0.500 0.000 0.000 Ni
0.000 0.000 0.500 Ni
0.000 0.000 0.000 H
0.500 0.500 0.500 Si
```

Calculated values
* final energy: -27.78 eV per cell
* symmetry: Pm-3m
* crystal system: cubic
* D(E_F): 0.752 states/eV/atom

***

Entry 7:
Density functional theory data (PBE) for a relaxed Li3Pm12Pt5 crystal.

Geometry as POSCAR:
```
Li3Pm12Pt5
1.0
-2.710 11.840 -9.267
7.408 -10.912 -7.712
-13.257 -5.540 5.194
Pm Pt Li
48 20 12
direct
0.620 0.035 0.209 Pm
0.880 0.291 0.465 Pm
0.965 0.584 0.174 Pm
0.174 0.089 0.709 Pm
0.416 0.035 0.326 Pm
0.791 0.465 0.380 Pm
0.209 0.535 0.620 Pm
0.291 0.411 0.826 Pm
0.911 0.826 0.791 Pm
0.089 0.916 0.380 Pm
0.791 0.326 0.911 Pm
0.916 0.089 0.880 Pm
0.209 0.674 0.089 Pm
0.291 0.880 0.965 Pm
0.120 0.411 0.084 Pm
0.584 0.965 0.674 Pm
0.326 0.535 0.416 Pm
0.965 0.380 0.291 Pm
0.084 0.911 0.120 Pm
0.535 0.326 0.916 Pm
0.084 0.174 0.465 Pm
0.035 0.416 0.826 Pm
0.326 0.791 0.411 Pm
0.174 0.084 0.965 Pm
0.674 0.209 0.589 Pm
0.826 0.916 0.035 Pm
0.120 0.709 0.535 Pm
0.535 0.209 0.120 Pm
0.709 0.589 0.174 Pm
0.380 0.416 0.089 Pm
0.089 0.174 0.209 Pm
0.916 0.826 0.535 Pm
0.911 0.084 0.620 Pm
0.411 0.291 0.326 Pm
0.035 0.620 0.709 Pm
0.589 0.709 0.674 Pm
0.880 0.589 0.916 Pm
0.411 0.120 0.584 Pm
0.589 0.880 0.416 Pm
0.465 0.674 0.084 Pm
0.674 0.465 0.584 Pm
0.416 0.380 0.589 Pm
0.826 0.911 0.291 Pm
0.465 0.791 0.880 Pm
0.584 0.620 0.411 Pm
0.380 0.965 0.791 Pm
0.709 0.120 0.035 Pm
0.620 0.584 0.911 Pm
0.000 0.000 0.000 Pt
0.875 0.250 0.625 Pt
0.625 0.750 0.875 Pt
0.000 0.500 0.000 Pt
0.500 0.000 0.000 Pt
0.250 0.375 0.625 Pt
0.375 0.125 0.750 Pt
0.625 0.875 0.250 Pt
0.500 0.000 0.500 Pt
0.000 0.000 0.500 Pt
0.000 0.500 0.500 Pt
0.750 0.625 0.375 Pt
0.375 0.250 0.125 Pt
0.250 0.875 0.125 Pt
0.750 0.125 0.875 Pt
0.875 0.625 0.750 Pt
0.125 0.375 0.250 Pt
0.125 0.750 0.375 Pt
0.500 0.500 0.000 Pt
0.500 0.500 0.500 Pt
0.625 0.250 0.375 Li
0.750 0.375 0.125 Li
0.375 0.750 0.625 Li
0.875 0.125 0.250 Li
0.125 0.250 0.875 Li
0.375 0.625 0.250 Li
0.125 0.875 0.750 Li
0.875 0.750 0.125 Li
0.250 0.125 0.375 Li
0.250 0.625 0.875 Li
0.750 0.875 0.625 Li
0.625 0.375 0.750 Li
```

Calculated values
* final energy: -386.81 eV per cell
* symmetry: Ia-3d
* crystal system: cubic
* D(E_F): 1.093 states/eV/atom

***

Entry 8:
Density functional theory data (PBE) for a relaxed TbNd2Ag2Ge2 crystal.

Geometry as POSCAR:
```
TbNd2Ag2Ge2
1.0
-2.177 3.392 2.143
-4.254 1.113 -1.223
-5.584 -4.699 6.625
Nd Ag Ge Tb
2 2 2 1
direct
0.125 0.125 0.625 Nd
0.875 0.875 0.375 Nd
0.392 0.392 0.824 Ag
0.608 0.608 0.176 Ag
0.265 0.265 0.205 Ge
0.735 0.735 0.795 Ge
0.000 0.000 0.000 Tb
```

Calculated values
* final energy: -32.06 eV per cell
* symmetry: R-3m
* crystal system: trigonal
* D(E_F): 0.485 states/eV/atom

***

Entry 9:
Density functional theory data (PBE) for a relaxed HfCrAgS4 crystal.

Geometry as POSCAR:
```
HfCrAgS4
1.0
3.616 0.000 0.000
0.000 12.359 0.000
0.000 0.000 12.023
Ag S Cr Hf
4 16 4 4
direct
0.250 0.373 0.913 Ag
0.750 0.127 0.413 Ag
0.750 0.627 0.087 Ag
0.250 0.873 0.587 Ag
0.750 0.466 0.384 S
0.250 0.284 0.533 S
0.250 0.784 0.967 S
0.250 0.034 0.884 S
0.250 0.937 0.382 S
0.250 0.190 0.262 S
0.750 0.966 0.116 S
0.750 0.310 0.762 S
0.750 0.716 0.467 S
0.750 0.810 0.738 S
0.250 0.534 0.616 S
0.250 0.437 0.118 S
0.750 0.063 0.618 S
0.750 0.216 0.033 S
0.250 0.690 0.238 S
0.750 0.563 0.882 S
0.750 0.401 0.578 Cr
0.250 0.599 0.422 Cr
0.250 0.099 0.078 Cr
0.750 0.901 0.922 Cr
0.250 0.170 0.710 Hf
0.750 0.830 0.290 Hf
0.250 0.670 0.790 Hf
0.750 0.330 0.210 Hf
```

Calculated values
* raw formation energy: -0.838 eV/atom
* symmetry: Pnma
* crystal system: orthorhombic

***

Entry 10:
Density functional theory data (PBE) for a relaxed EuMgZnPb crystal.

Geometry as POSCAR:
```
EuMgZnPb
1.0
-4.774 0.216 -2.167
-2.956 -4.327 -0.273
-4.272 -0.453 3.013
Pb Eu Mg Zn
1 1 1 1
direct
0.500 0.500 0.500 Pb
0.750 0.750 0.750 Eu
0.250 0.250 0.250 Mg
0.000 0.000 0.000 Zn
```

Calculated values
* final energy: -18.02 eV per cell
* symmetry: F-43m
* crystal system: cubic
* D(E_F): 0.148 states/eV/atom

***

Entry 11:
Density functional theory data (PBE) for a relaxed AcNdRu2 crystal.

Geometry as POSCAR:
```
AcNdRu2
1.0
3.604 0.000 0.000
0.000 3.604 0.000
0.000 0.000 7.168
Nd Ru Ac
1 2 1
direct
0.500 0.500 0.000 Nd
0.000 0.000 0.756 Ru
0.000 0.000 0.244 Ru
0.500 0.500 0.500 Ac
```

Calculated values
* final energy: -27.23 eV per cell
* symmetry: P4/mmm
* crystal system: tetragonal
* D(E_F): 1.148 states/eV/atom

***

Entry 12:
Density functional theory data (PBE) for a relaxed Ce4PuTl2 crystal.

Geometry as POSCAR:
```
Ce4PuTl2
1.0
-0.455 3.360 0.028
-3.571 -0.453 -3.681
-6.026 -0.895 9.555
Ce Tl Pu
4 2 1
direct
0.500 0.939 0.878 Ce
0.000 0.648 0.296 Ce
0.000 0.352 0.704 Ce
0.500 0.061 0.122 Ce
0.500 0.210 0.420 Tl
0.500 0.790 0.580 Tl
0.000 0.500 0.000 Pu
```

Calculated values
* final energy: -42.98 eV per cell
* symmetry: Cmmm
* crystal system: orthorhombic
* D(E_F): 3.040 states/eV/atom

***

Entry 13:
Density functional theory data (PBE) for a relaxed LiNd6Tm crystal.

Geometry as POSCAR:
```
LiNd6Tm
1.0
-2.573 -1.205 4.356
-1.218 -4.643 -2.002
6.276 -6.705 4.962
Nd Tm Li
6 1 1
direct
0.118 0.618 0.763 Nd
0.382 0.882 0.237 Nd
0.882 0.382 0.237 Nd
0.749 0.749 0.503 Nd
0.618 0.118 0.763 Nd
0.251 0.251 0.497 Nd
0.500 0.500 0.000 Tm
0.000 0.000 0.000 Li
```

Calculated values
* final energy: -34.32 eV per cell
* symmetry: I4/mmm
* crystal system: tetragonal
* D(E_F): 1.531 states/eV/atom

***

Entry 14:
Density functional theory data (PBE) for a relaxed Mo3OsRu crystal.

Geometry as POSCAR:
```
Mo3OsRu
1.0
4.667 0.000 0.000
0.000 4.667 0.000
0.000 0.000 4.667
Os Mo Ru
1 3 1
direct
0.000 0.000 0.000 Os
0.000 0.000 0.500 Mo
0.500 0.000 0.000 Mo
0.000 0.500 0.000 Mo
0.500 0.500 0.500 Ru
```

Calculated values
* final energy: -43.61 eV per cell
* symmetry: Pm-3m
* crystal system: cubic
* D(E_F): 1.322 states/eV/atom

***

Entry 15:
Density functional theory data (PBE) for a relaxed CaTmAs crystal.

Geometry as POSCAR:
```
CaTmAs
1.0
-2.916 -3.253 -0.830
1.001 -1.889 3.900
-4.725 6.770 1.961
Ca Tm As
2 2 2
direct
0.678 0.678 0.356 Ca
0.322 0.322 0.644 Ca
0.500 0.000 0.000 Tm
0.000 0.500 0.000 Tm
0.130 0.130 0.261 As
0.870 0.870 0.739 As
```

Calculated values
* final energy: -27.60 eV per cell
* symmetry: I4/mmm
* crystal system: tetragonal
* D(E_F): 0.973 states/eV/atom

***

Entry 16:
Density functional theory data (PBE) for a relaxed Pm2PaPt4 crystal.

Geometry as POSCAR:
```
Pm2PaPt4
1.0
-1.927 -4.201 1.799
2.449 -4.252 -0.722
3.941 -0.150 6.846
Pt Pa Pm
4 1 2
direct
0.656 0.656 0.079 Pt
0.060 0.060 0.650 Pt
0.940 0.940 0.350 Pt
0.344 0.344 0.921 Pt
0.000 0.000 0.000 Pa
0.708 0.708 0.696 Pm
0.292 0.292 0.304 Pm
```

Calculated values
* final energy: -50.15 eV per cell
* symmetry: C2/m
* crystal system: monoclinic
* D(E_F): 0.671 states/eV/atom

***

Going through the records in order, we get spin magnetization values of 0.4997 0.0000 0.0001 0.1335 0.3956 0.0000 0.0000 0.0000 0.4284 1.7519 0.0000 0.5804 0.0000 0.2243 0.0007 0.0000 μB/atom.